The following is a DFT calculation (PBE with a Hubbard U) of a relaxed structure of Li6NiF12.

The density comes out at 2.788 Mg/m³. The value obtained for the density of states at the Fermi level is 7.09 states/eV/cell. Its space group is R-3 (148). The calculation puts the energy at -4.097 eV/atom.

a = 5.864 Å, b = 5.864 Å, c = 5.864 Å
α = 97.75°, β = 97.75°, γ = 97.75°
Sites, in units of the cell vectors:
Li 0.105 0.811 0.649
Li 0.189 0.351 0.895
Li 0.351 0.895 0.189
Li 0.649 0.105 0.811
Li 0.811 0.649 0.105
Li 0.895 0.189 0.351
Ni 0.500 0.500 0.500
F 0.061 0.915 0.326
F 0.085 0.674 0.939
F 0.200 0.425 0.533
F 0.326 0.061 0.915
F 0.425 0.533 0.200
F 0.467 0.800 0.575
F 0.533 0.200 0.425
F 0.575 0.467 0.800
F 0.674 0.939 0.085
F 0.800 0.575 0.467
F 0.915 0.326 0.061
F 0.939 0.085 0.674